--- a ---
Here is Tb2Mg3Cd4 after structural relaxation from Alexandria via LeMat-Bulk. Energies are from PBE-GGA.

Cell lengths 8.7912, 5.0709, 9.6011 Å; angles 90.00, 90.12, 90.00 degrees
Last column: nearest neighbours and their distance in Å.
Space group C2/m (No. 12)
Symmetry-distinct sites (fractional):
Tb: 0.1670 0.0000 0.2127 [4 per cell]  7 Cd 3.07-3.19, 1 Mg 3.42
Mg: 0.0000 0.5000 0.0000 [2 per cell]  8 Cd 3.10-3.31
Mg: 0.1664 0.0000 0.5691 [4 per cell]  4 Cd 3.04-3.11, 3 Mg 3.21-3.22
Cd: 0.0006 0.5000 0.3443 [4 per cell]  1 Cd 2.99, 4 Mg 3.04-3.31, 3 Tb 3.19
Cd: 0.1664 0.0000 0.8930 [4 per cell]  4 Tb 3.07-3.10, 4 Mg 3.10-3.11

## Properties
DOS(E_F): 8.35 states/eV/cell

=====

--- b ---
Here is Tb2Mg3Cd4 after structural relaxation from Alexandria via LeMat-Bulk. Energies are from PBE-GGA.

Cell lengths 6.1722, 17.2416, 8.2202 Å; angles 90.00, 90.00, 90.00 degrees
Last column: nearest neighbours and their distance in Å.
Space group Cmce (No. 64)
Symmetry-distinct sites (fractional):
Tb: 0.0000 0.0954 0.1039 [8 per cell]  7 Cd 3.31-3.43, 5 Mg 3.47-3.65, 1 Tb 3.71
Mg: 0.0000 0.0000 0.5000 [4 per cell]  6 Cd 2.83-2.88
Mg: 0.2500 0.2382 0.7500 [8 per cell]  5 Cd 2.93-2.98, 2 Mg 3.09
Cd: 0.0000 0.1669 0.4778 [8 per cell]  5 Mg 2.88-2.98, 2 Cd 3.21
Cd: 0.2500 0.0682 0.7500 [8 per cell]  3 Mg 2.83-2.93, 2 Cd 3.09

## Properties
DOS(E_F): 25.92 states/eV/cell

=====

The data favor a; the next most stable structure lies 0.049 eV/atom above it.

=====

--- a ---
Here is Tb3MgCd2 after structural relaxation from Alexandria via LeMat-Bulk. Energies are from PBE-GGA.

Cell lengths 5.3009, 16.0260, 3.7832 Å; angles 90.00, 90.00, 90.00 degrees
Last column: nearest neighbours and their distance in Å.
Space group Cmmm (No. 65)
Symmetry-distinct sites (fractional):
Tb: 0.0000 0.0000 0.0000 [2 per cell]  4 Cd 3.19, 4 Mg 3.26
Tb: 0.0000 0.3310 0.0000 [4 per cell]  6 Cd 3.26-3.33, 2 Mg 3.30
Mg: 0.0000 0.5000 0.5000 [2 per cell]  8 Tb 3.26-3.30
Cd: 0.0000 0.1600 0.5000 [4 per cell]  8 Tb 3.19-3.33

## Properties
DOS(E_F): 14.58 states/eV/cell

=====

--- b ---
Here is Tb3MgCd2 after structural relaxation from Alexandria via LeMat-Bulk. Energies are from PBE-GGA.

Cell lengths 3.7898, 3.7898, 11.2013 Å; angles 90.00, 90.00, 90.00 degrees
Last column: nearest neighbours and their distance in Å.
Space group P4/mmm (No. 123)
Symmetry-distinct sites (fractional):
Tb: 0.0000 0.0000 0.0000 [1 per cell]  8 Cd 3.28
Tb: 0.0000 0.0000 0.3317 [2 per cell]  4 Cd 3.24, 4 Mg 3.28
Mg: 0.5000 0.5000 0.5000 [1 per cell]  8 Tb 3.28
Cd: 0.5000 0.5000 0.1690 [2 per cell]  8 Tb 3.24-3.28

## Properties
DOS(E_F): 7.78 states/eV/cell

=====

The data favor a; the next most stable structure lies 0.005 eV/atom above it.

=====

--- a ---
Here is Tb3Mg2Cd7 after structural relaxation from Alexandria via LeMat-Bulk. Energies are from PBE-GGA.

Cell lengths 5.1687, 4.7622, 12.3333 Å; angles 90.00, 90.09, 90.00 degrees
Last column: nearest neighbours and their distance in Å.
Space group P2/m (No. 10)
Symmetry-distinct sites (fractional):
Tb: 0.0000 0.0000 0.0000 [1 per cell]  8 Cd 3.10-3.21
Tb: 0.4983 0.5000 0.6728 [2 per cell]  8 Cd 3.20-3.46, 4 Mg 3.54-3.55
Mg: 0.0026 0.0000 0.2880 [2 per cell]  6 Cd 2.85-3.07
Cd: 0.0007 0.5000 0.1603 [2 per cell]  2 Mg 2.85, 2 Tb 3.10
Cd: 0.2502 0.0000 0.5008 [2 per cell]  2 Cd 2.58-2.59
Cd: 0.4988 0.0000 0.8457 [2 per cell]  2 Cd 3.05, 2 Mg 3.06-3.07, 4 Tb 3.20-3.21
Cd: 0.5000 0.5000 0.0000 [1 per cell]  8 Cd 3.05-3.25

## Properties
DOS(E_F): 5.16 states/eV/cell

=====

--- b ---
Here is Tb3Mg2Cd7 after structural relaxation from Alexandria via LeMat-Bulk. Energies are from PBE-GGA.

Cell lengths 4.9145, 3.8739, 15.9455 Å; angles 90.00, 98.50, 90.00 degrees
Last column: nearest neighbours and their distance in Å.
Space group P2/m (No. 10)
Symmetry-distinct sites (fractional):
Tb: 0.0000 0.0000 0.0000 [1 per cell]  8 Cd 3.08-3.13
Tb: 0.3122 0.5000 0.6294 [2 per cell]  8 Cd 3.35-3.65, 4 Mg 3.42-3.43
Mg: 0.1447 0.0000 0.2822 [2 per cell]  5 Cd 2.74-2.99
Cd: 0.0798 0.5000 0.1515 [2 per cell]  2 Mg 2.83, 2 Tb 3.08, 4 Cd 3.14-3.15
Cd: 0.2289 0.0000 0.4560 [2 per cell]  1 Mg 2.74, 2 Cd 2.82
Cd: 0.4080 0.0000 0.8258 [2 per cell]  2 Mg 2.99, 4 Cd 3.14-3.15
Cd: 0.5000 0.5000 0.0000 [1 per cell]  4 Tb 3.13, 8 Cd 3.36-3.45

## Properties
DOS(E_F): 7.96 states/eV/cell

=====

The data favor b; the next most stable structure lies 0.006 eV/atom above it.